(1)
{
  "formula": "SrY2PbO",
  "functional": "PBE",
  "state": "optimized geometry",
  "sg": "P4/mmm",
  "vol_a3_per_cell": 121.0,
  "formation_energy_uncorrected_ev_per_atom": -1.299,
  "density_g_cm3": 6.705,
  "cell": [[4.840, 0.000, 0.000], [0.000, 4.840, 0.000], [0.000, 0.000, 5.165]],
  "species": ["Sr", "Y", "Y", "Pb", "O"],
  "frac_coords": [[0.000, 0.000, 0.000], [0.000, 0.500, 0.500], [0.500, 0.000, 0.500], [0.500, 0.500, 0.000], [0.000, 0.000, 0.500]]
}



(2)
{
  "formula": "SiBH3",
  "functional": "PBE",
  "state": "optimized geometry",
  "sg": "Pm-3m",
  "vol_a3_per_cell": 40.3,
  "density_g_cm3": 1.728,
  "dft_energy_ev_per_atom": -3.22,
  "cell": [[3.428, 0.000, 0.000], [0.000, 3.428, 0.000], [0.000, 0.000, 3.428]],
  "species": ["Si", "B", "H", "H", "H"],
  "frac_coords": [[0.000, 0.000, 0.000], [0.500, 0.500, 0.500], [0.000, 0.000, 0.500], [0.000, 0.500, 0.000], [0.500, 0.000, 0.000]]
}



(3)
{
  "formula": "MgRe4W",
  "functional": "PBE",
  "state": "optimized geometry",
  "sg": "F-43m",
  "vol_a3_per_cell": 98.4,
  "e_form_ev_per_atom": 0.27,
  "density_g_cm3": 16.081,
  "cell": [[0.000, 3.664, 3.664], [3.664, 0.000, 3.664], [3.664, 3.664, 0.000]],
  "species": ["Mg", "Re", "Re", "Re", "Re", "W"],
  "frac_coords": [[0.000, 0.000, 0.000], [0.374, 0.374, 0.374], [0.374, 0.374, 0.877], [0.374, 0.877, 0.374], [0.877, 0.374, 0.374], [0.750, 0.750, 0.750]]
}



(4)
{
  "formula": "Sr2CdSn3",
  "functional": "PBE",
  "state": "optimized geometry",
  "sg": "Pmm2",
  "vol_a3_per_cell": 195.1,
  "e_form_ev_per_atom": -0.44,
  "density_g_cm3": 5.479,
  "cell": [[4.715, 0.000, 0.000], [0.000, 4.948, 0.000], [0.000, 0.000, 8.363]],
  "species": ["Sr", "Sr", "Cd", "Sn", "Sn", "Sn"],
  "frac_coords": [[0.000, 0.000, 0.000], [0.000, 0.500, 0.480], [0.500, 0.500, 0.817], [0.500, 0.000, 0.327], [0.500, 0.000, 0.668], [0.500, 0.500, 0.151]]
}